Record 1
The following is a GGA-PBE calculation of RbCrMo2Ir after structural relaxation, from Alexandria via LeMat-Bulk.

Lattice parameters (Å, degrees): 4.9190 4.9190 5.1637 90.00 90.00 90.00
Fractional positions:
Rb1 0.0000 0.0000 0.0000
Cr1 0.5000 0.5000 0.0000
Mo1 0.0000 0.5000 0.5000
Mo2 0.5000 0.0000 0.5000
Ir1 0.5000 0.5000 0.5000

- Energy: -0.251 Ha/atom
- Symmetry: P4/mmm
- Formation energy: 1.403 eV per atom
- V: 125 Å³ per cell


Record 2
The following is a GGA-PBE calculation of CrMoIrRh after structural relaxation, from Alexandria via LeMat-Bulk.

Lattice parameters (Å, degrees): 3.8270 3.8376 3.8430 90.00 90.00 90.00
Fractional positions:
Cr1 0.0000 0.0000 0.0000
Mo1 0.0000 0.5000 0.5000
Ir1 0.5000 0.0000 0.5000
Rh1 0.5000 0.5000 0.0000

- Energy: -0.343 Ha/atom
- Symmetry: Pmmm
- Formation energy: -0.172 eV per atom
- V: 56 Å³ per cell


Record 3
The following is a GGA-PBE calculation of Sc2CrMoIr after structural relaxation, from Alexandria via LeMat-Bulk.

Lattice parameters (Å, degrees): 4.8955 4.8955 4.2354 90.00 90.00 90.00
Fractional positions:
Sc1 0.0000 0.5000 0.0000
Sc2 0.5000 0.0000 0.0000
Cr1 0.0000 0.0000 0.5000
Mo1 0.0000 0.0000 0.0000
Ir1 0.5000 0.5000 0.5000

- Energy: -0.271 Ha/atom
- Symmetry: P4/mmm
- Formation energy: 1.014 eV per atom
- V: 102 Å³ per cell


Record 4
The following is a GGA-PBE calculation of Sr2CrMoIr after structural relaxation, from Alexandria via LeMat-Bulk.

Lattice parameters (Å, degrees): 5.9117 5.9117 4.4360 90.00 90.00 90.00
Fractional positions:
Sr1 0.0000 0.5000 0.0000
Sr2 0.5000 0.0000 0.0000
Cr1 0.0000 0.0000 0.0000
Mo1 0.5000 0.5000 0.5000
Ir1 0.0000 0.0000 0.5000

- Energy: -0.193 Ha/atom
- Symmetry: P4/mmm
- Formation energy: 1.276 eV per atom
- V: 155 Å³ per cell


Record 5
The following is a GGA-PBE calculation of CrTcMoIr2 after structural relaxation, from Alexandria via LeMat-Bulk.

Lattice parameters (Å, degrees): 4.4570 4.4570 4.3115 90.00 90.00 90.00
Fractional positions:
Cr1 0.0000 0.0000 0.0000
Tc1 0.0000 0.0000 0.5000
Mo1 0.5000 0.5000 0.5000
Ir1 0.0000 0.5000 0.0000
Ir2 0.5000 0.0000 0.0000

- Energy: -0.306 Ha/atom
- Symmetry: P4/mmm
- Formation energy: 1.374 eV per atom
- V: 86 Å³ per cell


Record 6
The following is a GGA-PBE calculation of TiCr2MoIr after structural relaxation, from Alexandria via LeMat-Bulk.

Lattice parameters (Å, degrees): 4.4350 4.4350 4.6585 90.00 90.00 90.00
Fractional positions:
Ti1 0.0000 0.0000 0.0000
Cr1 0.0000 0.5000 0.5000
Cr2 0.5000 0.0000 0.5000
Mo1 0.5000 0.5000 0.0000
Ir1 0.0000 0.0000 0.5000

- Energy: -0.294 Ha/atom
- Symmetry: P4/mmm
- Formation energy: 1.372 eV per atom
- V: 92 Å³ per cell


Record 7
The following is a GGA-PBE calculation of TiCrMoIr2 after structural relaxation, from Alexandria via LeMat-Bulk.

Lattice parameters (Å, degrees): 4.4779 4.4779 4.2991 90.00 90.00 90.00
Fractional positions:
Ti1 0.0000 0.0000 0.0000
Cr1 0.0000 0.0000 0.5000
Mo1 0.5000 0.5000 0.0000
Ir1 0.0000 0.5000 0.5000
Ir2 0.5000 0.0000 0.5000

- Energy: -0.303 Ha/atom
- Symmetry: P4/mmm
- Formation energy: 0.972 eV per atom
- V: 86 Å³ per cell


Record 8
The following is a GGA-PBE calculation of TlCr2MoIr after structural relaxation, from Alexandria via LeMat-Bulk.

Lattice parameters (Å, degrees): 4.6275 4.6275 4.9034 90.00 90.00 90.00
Fractional positions:
Tl1 0.0000 0.0000 0.0000
Cr1 0.0000 0.5000 0.0000
Cr2 0.5000 0.0000 0.0000
Mo1 0.0000 0.0000 0.5000
Ir1 0.5000 0.5000 0.5000

- Energy: -0.198 Ha/atom
- Symmetry: P4/mmm
- Formation energy: 2.864 eV per atom
- V: 105 Å³ per cell